VASP calculation (PBE+U) on an optimized crystal structure of RbPr2FeO5. Values from VASP.

volume = 15.56 A^3/atom
energy = -125.899 eV/cell

Quantum ESPRESSO input file:
```
&SYSTEM
  ibrav = 0, nat = 18, ntyp = 4
/
ATOMIC_SPECIES
Rb 85.47 Rb.upf
Pr 140.91 Pr.upf
Fe 55.84 Fe.upf
O 16.00 O.upf
CELL_PARAMETERS angstrom
6.947 0.000 0.000
0.000 6.947 0.000
-3.473 -3.473 5.802
ATOMIC_POSITIONS crystal
Rb 0.250 0.250 0.500
Rb 0.750 0.750 0.500
Pr 0.180 0.320 0.000
Pr 0.680 0.180 0.000
Pr 0.320 0.820 0.000
Pr 0.820 0.680 0.000
Fe 0.250 0.750 0.500
Fe 0.750 0.250 0.500
O 0.997 0.497 0.263
O 0.733 0.233 0.737
O 0.003 0.503 0.737
O 0.233 0.003 0.737
O 0.503 0.733 0.737
O 0.767 0.997 0.263
O 0.497 0.267 0.263
O 0.267 0.767 0.263
O 0.500 0.500 0.000
O 0.000 0.000 0.000
```